Material: Ni2PSe
Method: DFT, GGA-PBE
State: relaxed

```
Ni2PSe
1.0
-1.427 1.686 5.876
1.427 -1.686 5.876
1.427 1.686 -5.876
Ni P Se
2 1 1
direct
0.000 0.000 0.000 Ni
0.809 0.309 0.500 Ni
0.439 0.439 0.000 P
0.189 0.689 0.500 Se
```

Properties
Raw formation energy ... -46 kJ/mol of formula units
Energy above the lowest structure with this stoichiometry ... 160 meV/atom
Magnetization ... 0.0 μB/f.u.

Material: NiPSe
Method: DFT, GGA-PBE
State: relaxed

```
NiPSe
1.0
3.530 0.000 0.000
-1.765 3.057 0.000
0.000 0.000 4.533
Ni P Se
1 1 1
direct
0.000 0.000 0.000 Ni
0.667 0.333 0.217 P
0.333 0.667 0.718 Se
```

Properties
Raw formation energy ... -38 kJ/mol of formula units
Magnetization ... 0.0 μB/f.u.